Record 1
Here is a geometry-optimized BaZr2Cr structure from Alexandria via LeMat-Bulk. Energies are from PBE.

Values from the calculation:
* ΔE to the lowest computed polymorph: 0.408 eV/atom

Unit cell a=3.4424 b=5.4303 c=5.4433 alpha=90.00 beta=90.00 gamma=90.00
Fractional coordinates of all 4 atoms:
Ba (0.0000, 0.0000, 0.0000)
Zr (0.0000, 0.5000, 0.5000)
Zr (0.5000, 0.0000, 0.5000)
Cr (0.5000, 0.5000, 0.0000)

***

Record 2
Here is a geometry-optimized BaZrCr3 structure from Alexandria via LeMat-Bulk. Energies are from PBE.

Values from the calculation:
* ΔE to the lowest computed polymorph: 1.003 eV/atom

Unit cell a=4.9343 b=4.9343 c=4.9343 alpha=90.00 beta=90.00 gamma=90.00
Fractional coordinates of all 5 atoms:
Ba (0.0000, 0.0000, 0.0000)
Zr (0.5000, 0.5000, 0.5000)
Cr (0.0000, 0.0000, 0.5000)
Cr (0.0000, 0.5000, 0.0000)
Cr (0.5000, 0.0000, 0.0000)

***

Record 3
Here is a geometry-optimized Ba2ZrCr structure from Alexandria via LeMat-Bulk. Energies are from PBE.

Values from the calculation:
* ΔE to the lowest computed polymorph: 0.210 eV/atom

Unit cell a=3.8401 b=3.8401 c=33.2124 alpha=90.00 beta=90.00 gamma=120.00
Fractional coordinates of all 12 atoms:
Ba (0.0000, 0.0000, 0.0000)
Ba (0.0000, 0.0000, 0.2157)
Ba (0.3333, 0.6667, 0.6667)
Ba (0.3333, 0.6667, 0.8824)
Ba (0.6667, 0.3333, 0.3333)
Ba (0.6667, 0.3333, 0.5490)
Zr (0.0000, 0.0000, 0.4580)
Zr (0.3333, 0.6667, 0.1247)
Zr (0.6667, 0.3333, 0.7914)
Cr (0.0000, 0.0000, 0.7416)
Cr (0.3333, 0.6667, 0.4083)
Cr (0.6667, 0.3333, 0.0749)

***

Record 4
Here is a geometry-optimized BaZr2Cr structure from Alexandria via LeMat-Bulk. Energies are from PBE.

Values from the calculation:
* ΔE to the lowest computed polymorph: 0.219 eV/atom

Unit cell a=3.3783 b=3.3783 c=30.2776 alpha=90.00 beta=90.00 gamma=120.00
Fractional coordinates of all 12 atoms:
Ba (0.0000, 0.0000, 0.0000)
Ba (0.3333, 0.6667, 0.6667)
Ba (0.6667, 0.3333, 0.3333)
Zr (0.0000, 0.0000, 0.2271)
Zr (0.0000, 0.0000, 0.7729)
Zr (0.3333, 0.6667, 0.4396)
Zr (0.3333, 0.6667, 0.8937)
Zr (0.6667, 0.3333, 0.1063)
Zr (0.6667, 0.3333, 0.5604)
Cr (0.0000, 0.0000, 0.5000)
Cr (0.3333, 0.6667, 0.1667)
Cr (0.6667, 0.3333, 0.8333)

***

Record 5
Here is a geometry-optimized Ba2ZrCr structure from Alexandria via LeMat-Bulk. Energies are from PBE.

Values from the calculation:
* ΔE to the lowest computed polymorph: 0.338 eV/atom

Unit cell a=3.8086 b=3.8086 c=9.7726 alpha=90.00 beta=90.00 gamma=90.00
Fractional coordinates of all 4 atoms:
Ba (0.0000, 0.0000, 0.2361)
Ba (0.0000, 0.0000, 0.7639)
Zr (0.5000, 0.5000, 0.5000)
Cr (0.5000, 0.5000, 0.0000)

***

Record 6
Here is a geometry-optimized BaZr2Cr structure from Alexandria via LeMat-Bulk. Energies are from PBE.

Values from the calculation:
* ΔE to the lowest computed polymorph: 0.270 eV/atom

Unit cell a=3.3361 b=5.5270 c=11.2958 alpha=90.00 beta=90.00 gamma=90.00
Fractional coordinates of all 8 atoms:
Ba (0.0000, 0.0000, 0.0000)
Ba (0.5000, 0.5000, 0.5000)
Zr (0.0000, 0.5000, 0.2129)
Zr (0.0000, 0.5000, 0.7871)
Zr (0.5000, 0.0000, 0.2871)
Zr (0.5000, 0.0000, 0.7129)
Cr (0.0000, 0.0000, 0.5000)
Cr (0.5000, 0.5000, 0.0000)

***

Record 7
Here is a geometry-optimized BaZr2Cr structure from Alexandria via LeMat-Bulk. Energies are from PBE.

Values from the calculation:
* ΔE to the lowest computed polymorph: 0.598 eV/atom

Unit cell a=7.4537 b=7.4537 c=10.5247 alpha=90.00 beta=90.00 gamma=90.00
Fractional coordinates of all 16 atoms:
Ba (0.0000, 0.2500, 0.3750)
Ba (0.0000, 0.7500, 0.6250)
Ba (0.5000, 0.2500, 0.1250)
Ba (0.5000, 0.7500, 0.8750)
Zr (0.0000, 0.0000, 0.0000)
Zr (0.0000, 0.5000, 0.0000)
Zr (0.2500, 0.2500, 0.7500)
Zr (0.2500, 0.7500, 0.2500)
Zr (0.5000, 0.0000, 0.5000)
Zr (0.5000, 0.5000, 0.5000)
Zr (0.7500, 0.2500, 0.7500)
Zr (0.7500, 0.7500, 0.2500)
Cr (0.0000, 0.2500, 0.8750)
Cr (0.0000, 0.7500, 0.1250)
Cr (0.5000, 0.2500, 0.6250)
Cr (0.5000, 0.7500, 0.3750)

***

Record 8
Here is a geometry-optimized CsBa3 structure from Alexandria via LeMat-Bulk. Energies are from PBE.

Values from the calculation:
* ΔE to the lowest computed polymorph: 0.025 eV/atom

Unit cell a=6.6044 b=6.6044 c=6.6044 alpha=90.00 beta=90.00 gamma=90.00
Fractional coordinates of all 4 atoms:
Cs (0.0000, 0.0000, 0.0000)
Ba (0.0000, 0.5000, 0.5000)
Ba (0.5000, 0.0000, 0.5000)
Ba (0.5000, 0.5000, 0.0000)

***

Record 9
Here is a geometry-optimized Cs5Ba structure from Alexandria via LeMat-Bulk. Energies are from PBE.

Unit cell a=8.5978 b=25.9395 c=5.4616 alpha=90.00 beta=90.00 gamma=90.00
Fractional coordinates of all 12 atoms:
Cs (0.0000, 0.0000, 0.0000)
Cs (0.0000, 0.1613, 0.5000)
Cs (0.0000, 0.3371, 0.0000)
Cs (0.0000, 0.6629, 0.0000)
Cs (0.0000, 0.8387, 0.5000)
Cs (0.5000, 0.1629, 0.0000)
Cs (0.5000, 0.3387, 0.5000)
Cs (0.5000, 0.5000, 0.0000)
Cs (0.5000, 0.6613, 0.5000)
Cs (0.5000, 0.8371, 0.0000)
Ba (0.0000, 0.5000, 0.5000)
Ba (0.5000, 0.0000, 0.5000)

***

Record 10
Here is a geometry-optimized Cs2Ba structure from Alexandria via LeMat-Bulk. Energies are from PBE.

Unit cell a=9.0681 b=9.0681 c=9.0681 alpha=60.00 beta=60.00 gamma=60.00
Fractional coordinates of all 6 atoms:
Cs (0.0000, 0.0000, 0.0000)
Cs (0.0000, 0.0000, 0.5000)
Cs (0.0000, 0.5000, 0.0000)
Cs (0.5000, 0.0000, 0.0000)
Ba (0.3750, 0.3750, 0.3750)
Ba (0.6250, 0.6250, 0.6250)

***

Record 11
Here is a geometry-optimized CsBa structure from Alexandria via LeMat-Bulk. Energies are from PBE.

Unit cell a=8.7300 b=8.7300 c=8.7300 alpha=90.00 beta=90.00 gamma=90.00
Fractional coordinates of all 8 atoms:
Cs (0.0000, 0.0000, 0.0000)
Cs (0.0000, 0.5000, 0.5000)
Cs (0.5000, 0.0000, 0.5000)
Cs (0.5000, 0.5000, 0.0000)
Ba (0.0000, 0.0000, 0.5000)
Ba (0.0000, 0.5000, 0.0000)
Ba (0.5000, 0.0000, 0.0000)
Ba (0.5000, 0.5000, 0.5000)

***

Record 12
Here is a geometry-optimized CsBa structure from Alexandria via LeMat-Bulk. Energies are from PBE.

Unit cell a=14.6387 b=14.6387 c=14.6387 alpha=90.00 beta=90.00 gamma=90.00
Fractional coordinates of all 16 atoms:
Cs (0.2047, 0.2047, 0.2047)
Cs (0.2047, 0.7953, 0.7953)
Cs (0.2953, 0.2953, 0.7047)
Cs (0.2953, 0.7047, 0.2953)
Cs (0.7047, 0.2953, 0.2953)
Cs (0.7047, 0.7047, 0.7047)
Cs (0.7953, 0.2047, 0.7953)
Cs (0.7953, 0.7953, 0.2047)
Ba (0.1027, 0.1027, 0.8973)
Ba (0.1027, 0.8973, 0.1027)
Ba (0.3973, 0.3973, 0.3973)
Ba (0.3973, 0.6027, 0.6027)
Ba (0.6027, 0.3973, 0.6027)
Ba (0.6027, 0.6027, 0.3973)
Ba (0.8973, 0.1027, 0.1027)
Ba (0.8973, 0.8973, 0.8973)

***

Record 13
Here is a geometry-optimized Cs4Ba structure from Alexandria via LeMat-Bulk. Energies are from PBE.

Unit cell a=8.8839 b=8.8839 c=8.8839 alpha=90.00 beta=90.00 gamma=90.00
Fractional coordinates of all 5 atoms:
Cs (0.0000, 0.0000, 0.0000)
Cs (0.0000, 0.5000, 0.5000)
Cs (0.5000, 0.0000, 0.5000)
Cs (0.5000, 0.5000, 0.0000)
Ba (0.5000, 0.5000, 0.5000)

***

Record 14
Here is a geometry-optimized CsBa structure from Alexandria via LeMat-Bulk. Energies are from PBE.

Unit cell a=10.6427 b=10.4042 c=9.0024 alpha=66.06 beta=63.31 gamma=50.63
Fractional coordinates of all 8 atoms:
Cs (0.0475, 0.7025, 0.7025)
Cs (0.2975, 0.9525, 0.9525)
Cs (0.7025, 0.0475, 0.0475)
Cs (0.9525, 0.2975, 0.2975)
Ba (0.2079, 0.5421, 0.2079)
Ba (0.4579, 0.7921, 0.4579)
Ba (0.5421, 0.2079, 0.5421)
Ba (0.7921, 0.4579, 0.7921)

***

Record 15
Here is a geometry-optimized CsBa structure from Alexandria via LeMat-Bulk. Energies are from PBE.

Unit cell a=9.6611 b=9.6611 c=13.7699 alpha=90.00 beta=90.00 gamma=90.00
Fractional coordinates of all 16 atoms:
Cs (0.0000, 0.0000, 0.0000)
Cs (0.0000, 0.5000, 0.0000)
Cs (0.2500, 0.2500, 0.7500)
Cs (0.2500, 0.7500, 0.2500)
Cs (0.5000, 0.0000, 0.5000)
Cs (0.5000, 0.5000, 0.5000)
Cs (0.7500, 0.2500, 0.7500)
Cs (0.7500, 0.7500, 0.2500)
Ba (0.0000, 0.0000, 0.5000)
Ba (0.0000, 0.5000, 0.5000)
Ba (0.2500, 0.2500, 0.2500)
Ba (0.2500, 0.7500, 0.7500)
Ba (0.5000, 0.0000, 0.0000)
Ba (0.5000, 0.5000, 0.0000)
Ba (0.7500, 0.2500, 0.2500)
Ba (0.7500, 0.7500, 0.7500)

***

Record 16
Here is a geometry-optimized CsBa structure from Alexandria via LeMat-Bulk. Energies are from PBE.

Unit cell a=16.0918 b=16.0918 c=4.5954 alpha=90.00 beta=90.00 gamma=120.00
Fractional coordinates of all 12 atoms:
Cs (0.0989, 0.3116, 0.2500)
Cs (0.2127, 0.9011, 0.2500)
Cs (0.3116, 0.2127, 0.7500)
Cs (0.6884, 0.7873, 0.2500)
Cs (0.7873, 0.0989, 0.7500)
Cs (0.9011, 0.6884, 0.7500)
Ba (0.1474, 0.5987, 0.7500)
Ba (0.4013, 0.5487, 0.7500)
Ba (0.4513, 0.8526, 0.7500)
Ba (0.5487, 0.1474, 0.2500)
Ba (0.5987, 0.4513, 0.2500)
Ba (0.8526, 0.4013, 0.2500)

***

Record 17
Here is a geometry-optimized CsBa structure from Alexandria via LeMat-Bulk. Energies are from PBE.

Unit cell a=13.9219 b=13.9219 c=13.9219 alpha=90.00 beta=90.00 gamma=90.00
Fractional coordinates of all 12 atoms:
Cs (0.0000, 0.2500, 0.5000)
Cs (0.0000, 0.7500, 0.5000)
Cs (0.2500, 0.5000, 0.0000)
Cs (0.5000, 0.0000, 0.2500)
Cs (0.5000, 0.0000, 0.7500)
Cs (0.7500, 0.5000, 0.0000)
Ba (0.0000, 0.5000, 0.2500)
Ba (0.0000, 0.5000, 0.7500)
Ba (0.2500, 0.0000, 0.5000)
Ba (0.5000, 0.2500, 0.0000)
Ba (0.5000, 0.7500, 0.0000)
Ba (0.7500, 0.0000, 0.5000)

***

Record 18
Here is a geometry-optimized CsBa structure from Alexandria via LeMat-Bulk. Energies are from PBE.

Unit cell a=11.2039 b=11.2039 c=11.2039 alpha=90.00 beta=90.00 gamma=90.00
Fractional coordinates of all 8 atoms:
Cs (0.0000, 0.0000, 0.0000)
Cs (0.0000, 0.5000, 0.5000)
Cs (0.5000, 0.0000, 0.5000)
Cs (0.5000, 0.5000, 0.0000)
Ba (0.2500, 0.2500, 0.7500)
Ba (0.2500, 0.7500, 0.2500)
Ba (0.7500, 0.2500, 0.2500)
Ba (0.7500, 0.7500, 0.7500)

***

Record 19
Here is a geometry-optimized CsBa4 structure from Alexandria via LeMat-Bulk. Energies are from PBE.

Unit cell a=6.9486 b=6.9486 c=6.9486 alpha=90.00 beta=90.00 gamma=90.00
Fractional coordinates of all 5 atoms:
Cs (0.0000, 0.0000, 0.0000)
Ba (0.0000, 0.0000, 0.5000)
Ba (0.0000, 0.5000, 0.0000)
Ba (0.5000, 0.0000, 0.0000)
Ba (0.5000, 0.5000, 0.5000)

***

Record 20
Here is a geometry-optimized CsBa5 structure from Alexandria via LeMat-Bulk. Energies are from PBE.

Unit cell a=6.5202 b=19.6265 c=6.4871 alpha=90.00 beta=90.00 gamma=90.00
Fractional coordinates of all 12 atoms:
Cs (0.0000, 0.0000, 0.0000)
Cs (0.5000, 0.5000, 0.0000)
Ba (0.0000, 0.1715, 0.5000)
Ba (0.0000, 0.3309, 0.0000)
Ba (0.0000, 0.5000, 0.5000)
Ba (0.0000, 0.6691, 0.0000)
Ba (0.0000, 0.8285, 0.5000)
Ba (0.5000, 0.0000, 0.5000)
Ba (0.5000, 0.1691, 0.0000)
Ba (0.5000, 0.3285, 0.5000)
Ba (0.5000, 0.6715, 0.5000)
Ba (0.5000, 0.8309, 0.0000)

***

Record 21
Here is a geometry-optimized CsBa3 structure from Alexandria via LeMat-Bulk. Energies are from PBE.

Values from the calculation:
* ΔE to the lowest computed polymorph: 0.000 eV/atom

Unit cell a=4.5061 b=7.6715 c=8.2722 alpha=90.00 beta=90.00 gamma=90.00
Fractional coordinates of all 4 atoms:
Cs (0.0000, 0.0000, 0.0000)
Ba (0.0000, 0.5000, 0.6797)
Ba (0.5000, 0.0000, 0.4992)
Ba (0.5000, 0.5000, 0.2076)

***

Record 22
Here is a geometry-optimized CsBa3 structure from Alexandria via LeMat-Bulk. Energies are from PBE.

Values from the calculation:
* ΔE to the lowest computed polymorph: 0.021 eV/atom

Unit cell a=6.5457 b=6.5457 c=13.3972 alpha=90.00 beta=90.00 gamma=90.00
Fractional coordinates of all 8 atoms:
Cs (0.0000, 0.0000, 0.0000)
Cs (0.5000, 0.5000, 0.5000)
Ba (0.0000, 0.0000, 0.5000)
Ba (0.0000, 0.5000, 0.2500)
Ba (0.0000, 0.5000, 0.7500)
Ba (0.5000, 0.0000, 0.2500)
Ba (0.5000, 0.0000, 0.7500)
Ba (0.5000, 0.5000, 0.0000)

***

Record 23
Here is a geometry-optimized CsBa structure from Alexandria via LeMat-Bulk. Energies are from PBE.

Unit cell a=4.6479 b=4.6479 c=17.3770 alpha=90.00 beta=90.00 gamma=120.00
Fractional coordinates of all 4 atoms:
Cs (0.3333, 0.6667, 0.0000)
Cs (0.6667, 0.3333, 0.5000)
Ba (0.3333, 0.6667, 0.7416)
Ba (0.6667, 0.3333, 0.2416)

***

Record 24
Here is a geometry-optimized CsBa structure from Alexandria via LeMat-Bulk. Energies are from PBE.

Unit cell a=4.8201 b=6.5375 c=10.5661 alpha=90.00 beta=90.07 gamma=90.00
Fractional coordinates of all 4 atoms:
Cs (0.2491, 0.2500, 0.1400)
Cs (0.7509, 0.7500, 0.8600)
Ba (0.2505, 0.2500, 0.5946)
Ba (0.7495, 0.7500, 0.4054)

***

Record 25
Here is a geometry-optimized Cs2Ba structure from Alexandria via LeMat-Bulk. Energies are from PBE.

Unit cell a=4.7546 b=4.7546 c=24.0379 alpha=90.00 beta=90.00 gamma=90.00
Fractional coordinates of all 6 atoms:
Cs (0.0000, 0.0000, 0.1585)
Cs (0.0000, 0.0000, 0.8415)
Cs (0.5000, 0.5000, 0.3415)
Cs (0.5000, 0.5000, 0.6585)
Ba (0.0000, 0.0000, 0.5000)
Ba (0.5000, 0.5000, 0.0000)

***

Number 1: energy -6.367 eV per atom. Number 2: energy -5.636 eV per atom. Number 3: energy -4.764 eV per atom. Number 4: energy -6.555 eV per atom. Number 5: energy -4.636 eV per atom. Number 6: energy -6.504 eV per atom. Number 7: energy -6.177 eV per atom. Number 8: energy -1.500 eV per atom. Number 9: energy -0.936 eV per atom. Number 10: energy -1.002 eV per atom. Number 11: energy -0.933 eV per atom. Number 12: energy -0.883 eV per atom. Number 13: energy -0.726 eV per atom. Number 14: energy -1.048 eV per atom. Number 15: energy -1.233 eV per atom. Number 16: energy -1.213 eV per atom. Number 17: energy -0.582 eV per atom. Number 18: energy -0.559 eV per atom. Number 19: energy -1.213 eV per atom. Number 20: energy -1.638 eV per atom. Number 21: energy -1.526 eV per atom. Number 22: energy -1.505 eV per atom. Number 23: energy -1.195 eV per atom. Number 24: energy -1.253 eV per atom. Number 25: energy -1.074 eV per atom.